This record from Alexandria describes a relaxed Y2CuHPb crystal. The functional is GGA-PBEsol.

Computed properties:
* E: -25.84 eV for the cell shown

Lattice parameters (Å, degrees): 4.586 4.586 4.593 90.00 90.00 90.00
Positions (direct):
Pb 0.000 0.000 0.500
Y 0.000 0.500 0.000
Y 0.500 0.000 0.000
Cu 0.500 0.500 0.500
H 0.000 0.000 0.000

This record from Alexandria describes a relaxed Cu2H2Pd crystal. The functional is GGA-PBEsol.

Computed properties:
* E: -21.11 eV for the cell shown

Lattice parameters (Å, degrees): 3.635 3.635 3.685 90.00 90.00 90.00
Positions (direct):
H 0.500 0.000 0.000
H 0.000 0.500 0.000
Pd 0.000 0.000 0.000
Cu 0.500 0.000 0.500
Cu 0.000 0.500 0.500

This record from Alexandria describes a relaxed Cu3HPt crystal. The functional is GGA-PBEsol.

Computed properties:
* E: -23.32 eV for the cell shown

Lattice parameters (Å, degrees): 3.717 3.717 3.717 90.00 90.00 90.00
Positions (direct):
H 0.000 0.000 0.000
Cu 0.000 0.500 0.000
Cu 0.000 0.000 0.500
Cu 0.500 0.000 0.000
Pt 0.500 0.500 0.500

This record from Alexandria describes a relaxed Cu2H2Pt crystal. The functional is GGA-PBEsol.

Computed properties:
* E: -22.30 eV for the cell shown

Lattice parameters (Å, degrees): 3.640 3.640 3.733 90.00 90.00 90.00
Positions (direct):
H 0.500 0.000 0.000
H 0.000 0.500 0.000
Pt 0.000 0.000 0.000
Cu 0.500 0.000 0.500
Cu 0.000 0.500 0.500

E of number 3 (Cu3HPt)?
-23.32 eV for the cell shown